DFT (PBE) results for an optimized crystal structure of LiCa2Cr.

a = 4.490 Å, b = 4.490 Å, c = 20.671 Å
α = 90.00°, β = 90.00°, γ = 90.00°
Space group I-42d (No. 122)
Inequivalent atoms, fractional coordinates:
1 Li 0.000 0.000 0.000 x4
2 Ca 0.242 0.250 0.625 x8
3 Cr 0.000 0.000 0.500 x4

Output
crystal system	tetragonal
electronic total energy	-2.697	eV/atom
N(E_F)	30.442	states/eV/cell


DFT (PBE) results for an optimized crystal structure of B2P2Cl.

a = 8.701 Å, b = 8.701 Å, c = 2.675 Å
α = 90.00°, β = 90.00°, γ = 90.00°
Space group P4/mbm (No. 127)
Inequivalent atoms, fractional coordinates:
1 B 0.073 0.427 0.000 x4
2 P 0.104 0.604 0.500 x4
3 Cl 0.000 0.000 0.500 x2

Output
ΔE_f (raw)	5.1	eV per formula unit
distance to the lowest polymorph of the same formula	0.471	eV per atom
crystal system	tetragonal
N(E_F)	3.064	states/eV/cell


DFT (PBE) results for an optimized crystal structure of AlSe.

a = 3.428 Å, b = 3.584 Å, c = 7.871 Å
α = 90.00°, β = 90.00°, γ = 90.00°
Space group Pmma (No. 51)
Inequivalent atoms, fractional coordinates:
1 Al 0.250 0.000 0.147 x2
2 Se 0.250 0.500 0.747 x2

Output
ΔE_f (raw)	-0.6	eV per formula unit
crystal system	orthorhombic
N(E_F)	1.829	states/eV/cell


Which of these has the lowest N(E_F)?
AlSe